Record 1
Below is crystalline NaSr3Rh at its relaxed geometry, with properties calculated at the PBE level.

The space group is Cmcm (No. 63) and the conventional cell measures 7.5395, 15.3339 and 6.8055 Å, with angles of 90.00, 90.00 and 90.00 degrees. The inequivalent atoms are Na at (0.0000, 0.0699, 0.2500), Sr at (0.0000, 0.5000, 0.0000), Sr at (0.2505, 0.1968, 0.7500) and Rh at (0.0000, 0.3378, 0.7500).

The total magnetization is 0.00 μB/atom. The energy relative to the elements comes out at 0.078 eV per atom. The calculation puts the energy above the most stable polymorph in this dataset at 0.229 eV/atom.

=====

Record 2
Below is crystalline Na2Sr5Rh at its relaxed geometry, with properties calculated at the PBE level.

The space group is Pnma (No. 62) and the conventional cell measures 10.6158, 8.2724 and 16.7315 Å, with angles of 90.00, 90.00 and 90.00 degrees. The inequivalent atoms are Na at (0.0458, 0.2500, 0.1972), Na at (0.2068, 0.7500, 0.4116), Sr at (0.0000, 0.0000, 0.0000), Sr at (0.0562, 0.7500, 0.2077), Sr at (0.1429, 0.0025, 0.6073), Sr at (0.2142, 0.2500, 0.3898) and Rh at (0.1828, 0.7500, 0.0536).

The total magnetization is 0.00 μB/atom. The energy relative to the elements comes out at -0.080 eV per atom.

=====

Record 3
Below is crystalline Na3Sr9Rh2 at its relaxed geometry, with properties calculated at the PBE level.

The space group is P-3m1 (No. 164) and the conventional cell measures 8.4083, 8.4083 and 10.2844 Å, with angles of 90.00, 90.00 and 120.00 degrees. The inequivalent atoms are Na at (0.0000, 0.0000, 0.0000), Na at (0.3333, 0.6667, 0.3339), Sr at (0.0000, 0.5000, 0.0000), Sr at (0.1711, 0.3422, 0.6699) and Rh at (0.3333, 0.6667, 0.8315).

The total magnetization is 0.00 μB/atom. The energy relative to the elements comes out at -0.127 eV per atom.